Computed, not measured: BaCd2BiSb after structural relaxation at the PBE level of DFT.

It has space group P3m1 (No. 156), with a = 4.8908 Å, b = 4.8908 Å, c = 8.1749 Å, α = 90.00°, β = 90.00° and γ = 120.00°. The asymmetric unit holds Ba at (0.0000, 0.0000, 0.0000), Cd at (0.3333, 0.6667, 0.6220), Cd at (0.6667, 0.3333, 0.3597), Bi at (0.6667, 0.3333, 0.7366) and Sb at (0.3333, 0.6667, 0.2560).

Its electronic total energy is -2.87 eV/atom.

***

Computed, not measured: Co2W after structural relaxation at the PBE level of DFT.

It has space group P6_3/mmc (No. 194), with a = 4.7558 Å, b = 4.7558 Å, c = 15.5059 Å, α = 90.00°, β = 90.00° and γ = 120.00°. The asymmetric unit holds Co at (0.0000, 0.0000, 0.0819), Co at (0.0000, 0.5000, 0.0000), Co at (0.1585, 0.3170, 0.2500), W at (0.3333, 0.6667, 0.1270) and W at (0.3333, 0.6667, 0.6594).

For the calculated formation energy, the calculation gives 0.1649 eV per atom.

***

Computed, not measured: ScCu2 after structural relaxation at the PBE level of DFT.

It has space group I4/mmm (No. 139), with a = 3.278 Å, b = 3.278 Å, c = 8.385 Å, α = 90.00°, β = 90.00° and γ = 90.00°. The asymmetric unit holds Sc at (0.000, 0.000, 0.000) and Cu at (0.000, 0.000, 0.326).

For the calculated formation energy, the calculation gives -0.2562 eV per atom.

***

Computed, not measured: NbAlFePd after structural relaxation at the PBE level of DFT.

It has space group F-43m (No. 216), with a = 6.185 Å, b = 6.185 Å, c = 6.185 Å, α = 90.00°, β = 90.00° and γ = 90.00°. The asymmetric unit holds Nb at (0.000, 0.000, 0.000), Al at (0.000, 0.000, 0.500), Fe at (0.250, 0.250, 0.750) and Pd at (0.250, 0.250, 0.250).

The value obtained for the polymorph energy (0 for the lowest one) is 0.0 meV per atom.

***

Computed, not measured: RbNbS2O9 after structural relaxation at the PBE level of DFT.

It has space group Pnma (No. 62), with a = 16.691 Å, b = 5.188 Å, c = 8.649 Å, α = 90.00°, β = 90.00° and γ = 90.00°. The asymmetric unit holds Rb at (0.062, 0.250, 0.154), Nb at (0.191, 0.750, 0.576), S at (0.064, 0.250, 0.631), S at (0.190, 0.750, 0.979), O at (0.002, 0.250, 0.748), O at (0.039, 0.250, 0.471), O at (0.104, 0.750, 0.970), O at (0.119, 0.022, 0.665), O at (0.161, 0.750, 0.385), O at (0.216, 0.517, 0.072) and O at (0.234, 0.750, 0.833).

Its electronic total energy is -6.68 eV/atom.

***

Computed, not measured: LiInGePt after structural relaxation at the PBE level of DFT.

It has space group F-43m (No. 216), with a = 6.467 Å, b = 6.467 Å, c = 6.467 Å, α = 90.00°, β = 90.00° and γ = 90.00°. The asymmetric unit holds Li at (0.000, 0.000, 0.000), In at (0.250, 0.250, 0.750), Ge at (0.250, 0.250, 0.250) and Pt at (0.000, 0.000, 0.500).

The value obtained for the polymorph energy (0 for the lowest one) is 0.0 meV per atom.